Entry 1:
RbTcSn3 after structural relaxation, computed with PBE.

abc: 5.293 5.293 5.293
angles: 90.00 90.00 90.00
Element x y z (fractional)
Sn1 0.000 0.500 0.000
Sn2 0.000 0.000 0.500
Rb1 0.500 0.500 0.500
Sn3 0.500 0.000 0.000
Tc1 0.000 0.000 0.000

Summary:
- Energy above the most stable polymorph in this dataset: 0 meV per atom
- Formation energy from the elements: 10.5 kJ/mol of atoms
- Space-group type: Pm-3m (221)

Entry 2:
Ag3GeSe4 after structural relaxation, computed with PBE.

abc: 7.026 7.303 8.241
angles: 90.00 90.00 90.00
Element x y z (fractional)
Se1 0.618 0.668 0.739
Se2 0.159 0.822 0.500
Ag1 0.993 0.675 0.245
Ag2 0.993 0.675 0.755
Ag3 0.493 0.325 0.255
Se3 0.118 0.332 0.761
Ag4 0.503 0.850 0.000
Ag5 0.493 0.325 0.745
Se4 0.127 0.865 0.000
Ge1 0.004 0.175 0.000
Ge2 0.504 0.825 0.500
Ag6 0.003 0.150 0.500
Se5 0.618 0.668 0.261
Se6 0.627 0.135 0.500
Se7 0.659 0.178 0.000
Se8 0.118 0.332 0.239

Summary:
- Energy above the most stable polymorph in this dataset: 3 meV per atom
- Energy relative to the elements, uncorrected: -14.5 kJ per mole of atoms
- Space-group type: Pmn2_1 (31)

Entry 3:
InH2Ru after structural relaxation, computed with PBE.

abc: 4.065 4.065 6.034
angles: 70.31 70.31 90.00
Element x y z (fractional)
H1 0.475 0.125 0.250
In1 0.750 0.250 0.500
Ru1 0.250 0.750 0.500
H2 0.275 0.625 0.250
In2 0.000 0.000 0.000
Ru2 0.500 0.500 0.000
H3 0.375 0.525 0.750
H4 0.875 0.725 0.750

Summary:
- Energy above the most stable polymorph in this dataset: 236 meV per atom
- Space-group type: I-42d (122)

Entry 4:
Sr2AgBi4Pd3 after structural relaxation, computed with PBE.

abc: 4.849 4.849 11.420
angles: 90.00 90.00 90.00
Element x y z (fractional)
Pd1 0.500 0.000 0.872
Bi1 0.500 0.500 0.000
Bi2 0.000 0.500 0.366
Bi3 0.500 0.000 0.634
Sr1 0.500 0.000 0.262
Pd2 0.000 0.000 0.500
Ag1 0.500 0.500 0.500
Pd3 0.000 0.500 0.128
Sr2 0.000 0.500 0.738
Bi4 0.000 0.000 0.000

Summary:
- Formation energy from the elements: -51.0 kJ/mol of atoms
- Space-group type: P-4m2 (115)

Entry 5:
Nd2MgCd3 after structural relaxation, computed with PBE.

abc: 6.166 6.166 9.524
angles: 101.39 101.39 112.96
Element x y z (fractional)
Nd1 0.750 0.250 0.500
Cd1 0.664 0.168 0.832
Cd2 0.832 0.336 0.168
Cd3 0.832 0.832 0.665
Nd2 0.246 0.246 0.000
Nd3 0.250 0.750 0.500
Nd4 0.754 0.754 0.000
Cd4 0.168 0.168 0.335
Mg1 0.333 0.333 0.666
Mg2 0.667 0.667 0.334
Cd5 0.168 0.664 0.832
Cd6 0.336 0.832 0.168

Summary:
- Formation energy from the elements: -29.0 kJ/mol of atoms
- Space-group type: Fmmm (69)

Entry 6:
Ho8MgCo2 after structural relaxation, computed with PBE.

abc: 6.238 7.320 7.320
angles: 66.33 92.56 92.56
Element x y z (fractional)
Ho1 0.821 0.137 0.563
Ho2 0.179 0.437 0.863
Ho3 0.821 0.563 0.137
Ho4 0.413 0.866 0.866
Ho5 0.587 0.134 0.134
Mg1 0.000 0.000 0.000
Ho6 0.309 0.380 0.380
Ho7 0.691 0.620 0.620
Ho8 0.179 0.863 0.437
Co1 0.994 0.785 0.785
Co2 0.006 0.215 0.215

Summary:
- Energy above the most stable polymorph in this dataset: 15 meV per atom
- Formation energy from the elements: -2.3 kJ/mol of atoms
- Space-group type: C2/m (12)

Entry 7:
TaAg3Pd6 after structural relaxation, computed with PBE.

abc: 4.076 8.840 9.095
angles: 92.25 90.00 90.00
Element x y z (fractional)
Ag1 0.750 0.449 0.599
Pd1 0.250 0.151 0.203
Pd2 0.250 0.229 0.498
Pd3 0.250 0.449 0.100
Pd4 0.250 0.048 0.897
Ag2 0.250 0.750 0.003
Ag3 0.750 0.652 0.203
Pd5 0.750 0.551 0.900
Ag4 0.250 0.348 0.797
Pd6 0.750 0.849 0.797
Pd7 0.750 0.133 0.684
Ta1 0.750 0.063 0.374
Pd8 0.250 0.654 0.698
Pd9 0.250 0.867 0.316
Ag5 0.250 0.551 0.401
Pd10 0.750 0.346 0.302
Ag6 0.750 0.250 0.997
Pd11 0.750 0.771 0.502
Pd12 0.750 0.952 0.103
Ta2 0.250 0.937 0.626

Summary:
- Formation energy from the elements: -20.3 kJ/mol of atoms
- Space-group type: P2_1/m (11)

Entry 8:
Tb2YCu9 after structural relaxation, computed with PBE.

abc: 5.159 5.159 8.863
angles: 73.08 73.08 60.00
Element x y z (fractional)
Cu1 0.082 0.581 0.755
Tb1 0.141 0.141 0.576
Cu2 0.500 0.500 0.500
Cu3 0.419 0.918 0.245
Cu4 0.419 0.419 0.245
Cu5 0.581 0.082 0.755
Y1 0.000 0.000 0.000
Tb2 0.859 0.859 0.424
Cu6 0.668 0.668 0.997
Cu7 0.918 0.419 0.245
Cu8 0.581 0.581 0.755
Cu9 0.332 0.332 0.003

Summary:
- Formation energy from the elements: -18.9 kJ/mol of atoms
- Space-group type: R-3m (166)

In order of appearance, raw total energy = -4.5596 -3.5393 -4.4704 -4.2605 -2.6127 -4.7903 -5.3667 -4.5786 eV per atom.
In order of appearance, calculated density = 6043 5593 8254 8895 6933 7939 11594 8447 kg/m³.